No. 1
Density functional theory data (GGA-PBE) for an optimized crystal structure of BeCd2PtRh.

The total energy is -2.770 eV per atom. The value obtained for the calculated formation energy is 1.02 eV per atom.

It has space group P4/mmm (No. 123), with a = 5.113 Å, b = 5.113 Å, c = 4.791 Å, α = 90.00°, β = 90.00° and γ = 90.00°. The distinct sites, in fractional coordinates, are Be at (0.000, 0.000, 0.000), Cd at (0.000, 0.500, 0.500), Pt at (0.500, 0.500, 0.000) and Rh at (0.500, 0.500, 0.500).



No. 2
Density functional theory data (GGA-PBE) for an optimized crystal structure of Sc2Be2CdPt5.

The total energy is -6.034 eV per atom. The value obtained for the calculated formation energy is -0.91 eV per atom.

It has space group P4/mbm (No. 127), with a = 9.377 Å, b = 9.377 Å, c = 3.504 Å, α = 90.00°, β = 90.00° and γ = 90.00°. The distinct sites, in fractional coordinates, are Sc at (0.176, 0.324, 0.000), Be at (0.121, 0.621, 0.000), Cd at (0.000, 0.000, 0.000), Pt at (0.000, 0.500, 0.500) and Pt at (0.072, 0.783, 0.500).



No. 3
Density functional theory data (GGA-PBE) for an optimized crystal structure of BeCdSi2Pt.

The total energy is -2.943 eV per atom. Its formation energy without anion corrections is 1.363 eV/atom.

It has space group P4/mmm (No. 123), with a = 4.856 Å, b = 4.856 Å, c = 4.296 Å, α = 90.00°, β = 90.00° and γ = 90.00°. The distinct sites, in fractional coordinates, are Be at (0.000, 0.000, 0.000), Cd at (0.000, 0.000, 0.500), Si at (0.000, 0.500, 0.500) and Pt at (0.500, 0.500, 0.000).



No. 4
Density functional theory data (GGA-PBE) for an optimized crystal structure of Sm2BeCdPt6.

The total energy is -5.727 eV per atom. The value obtained for the calculated formation energy is -0.69 eV per atom.

It has space group C2/m (No. 12), with a = 9.800 Å, b = 5.657 Å, c = 7.833 Å, α = 90.00°, β = 114.68° and γ = 90.00°. The distinct sites, in fractional coordinates, are Sm at (0.217, 0.000, 0.152), Be at (0.000, 0.000, 0.500), Cd at (0.000, 0.500, 0.000), Pt at (0.020, 0.256, 0.305) and Pt at (0.236, 0.000, 0.695).



Which formula does entry 2 have?
Sc2Be2CdPt5



Number 2 is which compound?
Sc2Be2CdPt5



Number 4 is which compound?
Sm2BeCdPt6



Copy entry 1 word for word.
Density functional theory data (GGA-PBE) for an optimized crystal structure of BeCd2PtRh.

The total energy is -2.770 eV per atom. The value obtained for the calculated formation energy is 1.02 eV per atom.

It has space group P4/mmm (No. 123), with a = 5.113 Å, b = 5.113 Å, c = 4.791 Å, α = 90.00°, β = 90.00° and γ = 90.00°. The distinct sites, in fractional coordinates, are Be at (0.000, 0.000, 0.000), Cd at (0.000, 0.500, 0.500), Pt at (0.500, 0.500, 0.000) and Rh at (0.500, 0.500, 0.500).